VASP calculation (PBE) on an optimized crystal structure of CaSI2.

Structure (POSCAR):
```
CaSI2
1.0
0.000 3.952 3.952
3.952 0.000 3.952
3.952 3.952 0.000
I Ca S
2 1 1
direct
0.250 0.250 0.250
0.750 0.750 0.750
0.500 0.500 0.500
0.000 0.000 0.000
```

Output
Total moment in μB/f.u.: 2.000
Raw formation energy in eV per atom: -0.424
SG: Fm-3m, No. 225